ScAl (meta-GGA SCAN, single point on PBEsol structure); raw total energy = -44.48 eV for the cell shown; M_tot = 0.00 μB/cell
1.0
3.120 0.000 0.000
-1.560 2.702 0.000
0.000 0.000 9.462
Sc Al
2 2
Cartesian
0.000 1.801 1.318
1.560 0.901 8.143
0.000 1.801 5.800
1.560 0.901 3.662